(1)
# Cd3Re GGA-PBE relaxed
# Excess energy over the best structure of this formula in the dataset in meV/atom: 246.0
# Formation energy from the elements in eV per atom: 0.64
data_Cd3Re
_chemical_formula_sum 'Cd6 Re2'
_cell_length_a 5.951
_cell_length_b 5.951
_cell_length_c 4.957
_cell_angle_alpha 90.00
_cell_angle_beta 90.00
_cell_angle_gamma 120.00
_symmetry_space_group_name_H-M 'P 1'
_symmetry_Int_Tables_number 1
loop_
_symmetry_equiv_pos_as_xyz
'x,y,z'
loop_
_atom_site_label
_atom_site_type_symbol
_atom_site_fract_x
_atom_site_fract_y
_atom_site_fract_z
_atom_site_occupancy
Cd1 Cd 0.171 0.342 0.250 1
Cd2 Cd 0.171 0.829 0.250 1
Cd3 Cd 0.342 0.171 0.750 1
Cd4 Cd 0.658 0.829 0.250 1
Cd5 Cd 0.829 0.171 0.750 1
Cd6 Cd 0.829 0.658 0.750 1
Re1 Re 0.333 0.667 0.750 1
Re2 Re 0.667 0.333 0.250 1

---

(2)
# CdRe2 GGA-PBE relaxed
# Excess energy over the best structure of this formula in the dataset in meV/atom: 792.6
# Formation energy from the elements in eV per atom: 1.05
data_CdRe2
_chemical_formula_sum 'Cd2 Re4'
_cell_length_a 4.585
_cell_length_b 4.585
_cell_length_c 5.399
_cell_angle_alpha 90.00
_cell_angle_beta 90.00
_cell_angle_gamma 120.00
_symmetry_space_group_name_H-M 'P 1'
_symmetry_Int_Tables_number 1
loop_
_symmetry_equiv_pos_as_xyz
'x,y,z'
loop_
_atom_site_label
_atom_site_type_symbol
_atom_site_fract_x
_atom_site_fract_y
_atom_site_fract_z
_atom_site_occupancy
Cd1 Cd 0.333 0.667 0.250 1
Cd2 Cd 0.667 0.333 0.750 1
Re1 Re 0.000 0.000 0.000 1
Re2 Re 0.000 0.000 0.500 1
Re3 Re 0.333 0.667 0.750 1
Re4 Re 0.667 0.333 0.250 1

---

(3)
# CdRe2 GGA-PBE relaxed
# Excess energy over the best structure of this formula in the dataset in meV/atom: 1004.2
# Formation energy from the elements in eV per atom: 1.26
data_CdRe2
_chemical_formula_sum 'Cd3 Re6'
_cell_length_a 6.691
_cell_length_b 6.691
_cell_length_c 4.336
_cell_angle_alpha 90.00
_cell_angle_beta 90.00
_cell_angle_gamma 120.00
_symmetry_space_group_name_H-M 'P 1'
_symmetry_Int_Tables_number 1
loop_
_symmetry_equiv_pos_as_xyz
'x,y,z'
loop_
_atom_site_label
_atom_site_type_symbol
_atom_site_fract_x
_atom_site_fract_y
_atom_site_fract_z
_atom_site_occupancy
Cd1 Cd 0.000 0.000 0.000 1
Cd2 Cd 0.333 0.667 0.500 1
Cd3 Cd 0.667 0.333 0.500 1
Re1 Re 0.000 0.229 0.500 1
Re2 Re 0.000 0.445 0.000 1
Re3 Re 0.229 0.000 0.500 1
Re4 Re 0.445 0.000 0.000 1
Re5 Re 0.555 0.555 0.000 1
Re6 Re 0.771 0.771 0.500 1

---

(4)
# CdRe GGA-PBE relaxed
# Excess energy over the best structure of this formula in the dataset in meV/atom: 593.3
# Formation energy from the elements in eV per atom: 0.82
data_CdRe
_chemical_formula_sum 'Cd1 Re1'
_cell_length_a 2.731
_cell_length_b 2.731
_cell_length_c 4.662
_cell_angle_alpha 90.00
_cell_angle_beta 90.00
_cell_angle_gamma 90.00
_symmetry_space_group_name_H-M 'P 1'
_symmetry_Int_Tables_number 1
loop_
_symmetry_equiv_pos_as_xyz
'x,y,z'
loop_
_atom_site_label
_atom_site_type_symbol
_atom_site_fract_x
_atom_site_fract_y
_atom_site_fract_z
_atom_site_occupancy
Cd1 Cd 0.000 0.000 0.000 1
Re1 Re 0.500 0.500 0.500 1

---

(5)
# CdRe3 GGA-PBE relaxed
# Excess energy over the best structure of this formula in the dataset in meV/atom: 263.2
# Formation energy from the elements in eV per atom: 0.54
data_CdRe3
_chemical_formula_sum 'Cd2 Re6'
_cell_length_a 4.576
_cell_length_b 5.592
_cell_length_c 4.954
_cell_angle_alpha 90.00
_cell_angle_beta 90.00
_cell_angle_gamma 90.00
_symmetry_space_group_name_H-M 'P 1'
_symmetry_Int_Tables_number 1
loop_
_symmetry_equiv_pos_as_xyz
'x,y,z'
loop_
_atom_site_label
_atom_site_type_symbol
_atom_site_fract_x
_atom_site_fract_y
_atom_site_fract_z
_atom_site_occupancy
Cd1 Cd 0.250 0.250 0.152 1
Cd2 Cd 0.750 0.750 0.848 1
Re1 Re 0.250 0.508 0.660 1
Re2 Re 0.250 0.750 0.181 1
Re3 Re 0.250 0.992 0.660 1
Re4 Re 0.750 0.008 0.340 1
Re5 Re 0.750 0.250 0.819 1
Re6 Re 0.750 0.492 0.340 1

---

(6)
# CdRe GGA-PBE relaxed
# Excess energy over the best structure of this formula in the dataset in meV/atom: 311.6
# Formation energy from the elements in eV per atom: 0.54
data_CdRe
_chemical_formula_sum 'Cd6 Re6'
_cell_length_a 8.224
_cell_length_b 8.224
_cell_length_c 3.984
_cell_angle_alpha 90.00
_cell_angle_beta 90.00
_cell_angle_gamma 120.00
_symmetry_space_group_name_H-M 'P 1'
_symmetry_Int_Tables_number 1
loop_
_symmetry_equiv_pos_as_xyz
'x,y,z'
loop_
_atom_site_label
_atom_site_type_symbol
_atom_site_fract_x
_atom_site_fract_y
_atom_site_fract_z
_atom_site_occupancy
Cd1 Cd 0.162 0.325 0.250 1
Cd2 Cd 0.162 0.838 0.250 1
Cd3 Cd 0.325 0.162 0.750 1
Cd4 Cd 0.675 0.838 0.250 1
Cd5 Cd 0.838 0.162 0.750 1
Cd6 Cd 0.838 0.675 0.750 1
Re1 Re 0.119 0.559 0.750 1
Re2 Re 0.441 0.559 0.750 1
Re3 Re 0.441 0.881 0.750 1
Re4 Re 0.559 0.119 0.250 1
Re5 Re 0.559 0.441 0.250 1
Re6 Re 0.881 0.441 0.250 1

---

(7)
# CdRe2 GGA-PBE relaxed
# Excess energy over the best structure of this formula in the dataset in meV/atom: 107.4
# Formation energy from the elements in eV per atom: 0.37
data_CdRe2
_chemical_formula_sum 'Cd2 Re4'
_cell_length_a 5.429
_cell_length_b 5.429
_cell_length_c 6.941
_cell_angle_alpha 104.41
_cell_angle_beta 104.41
_cell_angle_gamma 30.58
_symmetry_space_group_name_H-M 'P 1'
_symmetry_Int_Tables_number 1
loop_
_symmetry_equiv_pos_as_xyz
'x,y,z'
loop_
_atom_site_label
_atom_site_type_symbol
_atom_site_fract_x
_atom_site_fract_y
_atom_site_fract_z
_atom_site_occupancy
Cd1 Cd 0.139 0.139 0.040 1
Cd2 Cd 0.861 0.861 0.960 1
Re1 Re 0.188 0.188 0.610 1
Re2 Re 0.479 0.479 0.670 1
Re3 Re 0.521 0.521 0.330 1
Re4 Re 0.812 0.812 0.390 1

---

(8)
# CdRe GGA-PBE relaxed
# Excess energy over the best structure of this formula in the dataset in meV/atom: 289.8
# Formation energy from the elements in eV per atom: 0.52
data_CdRe
_chemical_formula_sum 'Cd3 Re3'
_cell_length_a 6.816
_cell_length_b 6.816
_cell_length_c 5.779
_cell_angle_alpha 104.63
_cell_angle_beta 104.63
_cell_angle_gamma 24.56
_symmetry_space_group_name_H-M 'P 1'
_symmetry_Int_Tables_number 1
loop_
_symmetry_equiv_pos_as_xyz
'x,y,z'
loop_
_atom_site_label
_atom_site_type_symbol
_atom_site_fract_x
_atom_site_fract_y
_atom_site_fract_z
_atom_site_occupancy
Cd1 Cd 0.000 0.000 0.000 1
Cd2 Cd 0.025 0.025 0.535 1
Cd3 Cd 0.350 0.350 0.226 1
Re1 Re 0.298 0.298 0.692 1
Re2 Re 0.682 0.682 0.349 1
Re3 Re 0.685 0.685 0.899 1

---

Copy entry 4 word for word.
# CdRe GGA-PBE relaxed
# Excess energy over the best structure of this formula in the dataset in meV/atom: 593.3
# Formation energy from the elements in eV per atom: 0.82
data_CdRe
_chemical_formula_sum 'Cd1 Re1'
_cell_length_a 2.731
_cell_length_b 2.731
_cell_length_c 4.662
_cell_angle_alpha 90.00
_cell_angle_beta 90.00
_cell_angle_gamma 90.00
_symmetry_space_group_name_H-M 'P 1'
_symmetry_Int_Tables_number 1
loop_
_symmetry_equiv_pos_as_xyz
'x,y,z'
loop_
_atom_site_label
_atom_site_type_symbol
_atom_site_fract_x
_atom_site_fract_y
_atom_site_fract_z
_atom_site_occupancy
Cd1 Cd 0.000 0.000 0.000 1
Re1 Re 0.500 0.500 0.500 1

---

Question: What is the formation energy from the elements in the fourth record?
Answer: 0.82 eV per atom

---

Question: Which of these has the lowest formation energy from the elements?
Answer: number 7